Entry 1:
First-principles (PBE) data for a relaxed Na2NdCrS4 crystal, as listed in Alexandria.

Cell lengths 3.880, 6.646, 7.058 Å; angles 108.71, 90.00, 90.00 degrees
Last column: magnetic moment on the atom in μB.
Fractional positions:
Na1 0.500 0.000 0.500  0.00
Na2 0.000 0.500 0.500  0.00
Nd1 0.000 0.000 0.000  0.01
Cr1 0.500 0.500 0.000  2.95
S1 0.500 0.275 0.226  -0.02
S2 0.500 0.725 0.774  -0.02
S3 0.000 0.296 0.793  -0.06
S4 0.000 0.704 0.207  -0.06

Summary:
Symmetry: P2/m (10)
Uncorrected formation energy, eV per atom: -1.27

---

Entry 2:
First-principles (PBE) data for a relaxed NaCr2Ni crystal, as listed in Alexandria.

Cell lengths 4.490, 4.490, 4.490 Å; angles 60.00, 60.00, 60.00 degrees
Last column: magnetic moment on the atom in μB.
Fractional positions:
Ni1 0.500 0.500 0.500  0.37
Na1 0.000 0.000 0.000  0.03
Cr1 0.250 0.250 0.250  3.56
Cr2 0.750 0.750 0.750  3.56

Summary:
Symmetry: Fm-3m (225)
Energy of formation, eV per atom: 0.928
Energy relative to the lowest polymorph listed for this composition, eV per atom: 0.000